CoTcAs2 PBE optimized geometry; magnetization = 1.0 μB per formula unit; formation energy = 0.46 eV/f.u.; calculated volume = 71.6 Å³/cell
1.0
-8.190 -3.363 4.839
-6.190 -4.615 6.495
-6.998 -1.897 7.017
As Tc Co
2 1 1
direct
0.220 0.220 0.220
0.027 0.027 0.027
0.758 0.758 0.758
0.495 0.495 0.495

***

LiPaMo2N6 PBE optimized geometry; magnetization = 0.0 μB per formula unit; calculated volume = 301.6 Å³/cell; E_form (uncorrected) = -0.64 eV per atom
1.0
6.219 -0.021 -0.022
1.977 6.958 0.066
1.977 -0.192 6.955
N Li Mo Pa
12 2 4 2
direct
0.645 0.121 0.627
0.642 0.808 0.974
0.473 0.385 0.330
0.527 0.615 0.670
0.973 0.330 0.385
0.855 0.373 0.879
0.145 0.627 0.121
0.027 0.670 0.615
0.358 0.192 0.026
0.355 0.879 0.373
0.142 0.974 0.808
0.858 0.026 0.192
0.750 0.765 0.235
0.250 0.235 0.765
0.768 0.610 0.782
0.732 0.218 0.390
0.268 0.782 0.610
0.232 0.390 0.218
0.250 0.901 0.099
0.750 0.099 0.901

***

BaCu2Ru PBE optimized geometry; magnetization = 0.0 μB per formula unit; formation energy = 1.84 eV/f.u.; calculated volume = 77.6 Å³/cell
1.0
3.356 0.000 0.000
0.000 3.332 0.000
0.000 0.000 6.941
Ba Cu Ru
1 2 1
direct
0.500 0.500 0.750
0.000 0.000 0.081
0.000 0.000 0.419
0.500 0.500 0.250

***

TbErTiTl PBE optimized geometry; magnetization = 2.8 μB per formula unit; formation energy = 0.01 eV/f.u.; calculated volume = 103.2 Å³/cell
1.0
-3.177 3.687 2.008
-0.319 0.644 5.215
2.046 4.296 2.252
Ti Er Tl Tb
1 1 1 1
direct
0.250 0.250 0.250
0.500 0.500 0.500
0.750 0.750 0.750
0.000 0.000 0.000

***

Pr2MgSnO6 PBE optimized geometry; magnetization = 0.0 μB per formula unit; calculated volume = 263.6 Å³/cell; E_form (uncorrected) = -2.74 eV per atom
1.0
-0.509 -3.871 -4.036
5.761 0.074 -0.798
0.833 -5.874 5.470
Sn O Pr Mg
2 12 4 2
direct
0.000 0.500 0.000
0.500 0.000 0.500
0.103 0.464 0.751
0.300 0.705 0.444
0.397 0.964 0.749
0.200 0.205 0.056
0.603 0.036 0.251
0.800 0.795 0.944
0.703 0.298 0.946
0.203 0.202 0.446
0.700 0.295 0.556
0.797 0.798 0.554
0.297 0.702 0.054
0.897 0.536 0.249
0.016 0.945 0.251
0.516 0.555 0.751
0.984 0.055 0.749
0.484 0.445 0.249
0.000 0.500 0.500
0.500 0.000 0.000

***

La2SmTmTe5 PBE optimized geometry; magnetization = 1.1 μB per formula unit; calculated volume = 348.3 Å³/cell; E_form (uncorrected) = -0.99 eV per atom
1.0
5.463 0.000 0.000
0.000 5.463 0.000
0.000 0.000 11.668
Te La Tm Sm
5 2 1 1
direct
0.000 0.000 0.751
0.000 0.000 0.249
0.500 0.500 0.000
0.000 0.500 0.500
0.500 0.000 0.500
0.500 0.500 0.673
0.500 0.500 0.327
0.000 0.000 0.500
0.000 0.000 0.000

***

Question: Among the records above, which one has the lowest calculated volume?
Answer: CoTcAs2

***

Question: Among the records above, which one has the highest magnetization?
Answer: TbErTiTl

***

Question: What is the formula in the second record?
Answer: LiPaMo2N6

***

Question: Among the records above, which one has the highest magnetization?
Answer: TbErTiTl